No. 1
First-principles (GGA-PBE) data for KZrP2S after structural relaxation, as listed in Alexandria via LeMat-Bulk.

## Properties
D(E_F)   4.38 states/eV/f.u.
Total magnetic moment   0.00 Bohr magnetons per cell
Formation energy without anion corrections   1.440 eV/atom
Total DFT energy (no corrections)   -3.4785 eV per atom

a = 4.8736 Å, b = 4.8736 Å, c = 5.0971 Å
α = 90.00°, β = 90.00°, γ = 90.00°
Closest atoms and distances in Å follow each position.
Fractional coordinates of all 5 atoms:
1 K 0.0000 0.0000 0.0000  4 P 2.44, 2 S 2.55
2 Zr 0.5000 0.5000 0.5000  4 S 3.45, 8 P 3.53
3 P 0.0000 0.5000 0.0000  2 K 2.44
4 P 0.5000 0.0000 0.0000  2 K 2.44
5 S 0.0000 0.0000 0.5000  2 K 2.55


No. 2
First-principles (GGA-PBE) data for KZrPS2 after structural relaxation, as listed in Alexandria via LeMat-Bulk.

## Properties
D(E_F)   6.38 states/eV/f.u.
Total magnetic moment   0.11 Bohr magnetons per cell
Formation energy without anion corrections   1.217 eV/atom
Total DFT energy (no corrections)   -3.4447 eV per atom

a = 5.0541 Å, b = 5.0541 Å, c = 4.9241 Å
α = 90.00°, β = 90.00°, γ = 90.00°
Closest atoms and distances in Å follow each position.
Fractional coordinates of all 5 atoms:
1 K 0.0000 0.0000 0.0000  2 P 2.46, 4 S 2.53
2 Zr 0.5000 0.5000 0.5000  8 S 3.53, 4 P 3.57
3 P 0.0000 0.0000 0.5000  2 K 2.46
4 S 0.0000 0.5000 0.0000  2 K 2.53
5 S 0.5000 0.0000 0.0000  2 K 2.53


No. 3
First-principles (GGA-PBE) data for KSbP2 after structural relaxation, as listed in Alexandria via LeMat-Bulk.

## Properties
D(E_F)   1.44 states/eV/f.u.
Total magnetic moment   0.00 Bohr magnetons per cell
Formation energy without anion corrections   0.114 eV/atom
Total DFT energy (no corrections)   -3.8959 eV per atom

a = 3.1501 Å, b = 3.1501 Å, c = 9.7847 Å
α = 90.00°, β = 90.00°, γ = 90.00°
Closest atoms and distances in Å follow each position.
Fractional coordinates of all 4 atoms:
1 K 0.0000 0.0000 0.0000  4 K 3.15, 5 P 3.34-3.44
2 Sb 0.5000 0.5000 0.6964  4 Sb 3.15
3 P 0.0000 0.0000 0.3517  4 P 2.42
4 P 0.5000 0.5000 0.2538  4 P 2.42


No. 4
First-principles (GGA-PBE) data for K6SbP after structural relaxation, as listed in Alexandria via LeMat-Bulk.

## Properties
D(E_F)   5.58 states/eV/f.u.
Total magnetic moment   0.00 Bohr magnetons per cell
Formation energy without anion corrections   -0.263 eV/atom
Total DFT energy (no corrections)   -2.2775 eV per atom

a = 8.0589 Å, b = 8.0589 Å, c = 11.6507 Å
α = 90.00°, β = 90.00°, γ = 90.00°
Closest atoms and distances in Å follow each position.
Fractional coordinates of all 16 atoms:
1 K 0.1677 0.1677 0.2501  2 P 3.48-3.49, 3 K 3.76-3.82, 1 Sb 3.79
2 K 0.1677 0.8323 0.7499  2 P 3.48-3.49, 3 K 3.76-3.82, 1 Sb 3.79
3 K 0.2734 0.2734 0.5562  1 P 3.18, 1 Sb 3.43
4 K 0.2734 0.7266 0.4438  1 P 3.18, 1 Sb 3.43
5 K 0.2735 0.2735 0.9449  1 P 3.18, 1 Sb 3.43
6 K 0.2735 0.7265 0.0551  1 P 3.18, 1 Sb 3.43
7 K 0.7265 0.2735 0.0551  1 P 3.18, 1 Sb 3.43
8 K 0.7265 0.7265 0.9449  1 P 3.18, 1 Sb 3.43
9 K 0.7266 0.2734 0.4438  1 P 3.18, 1 Sb 3.43
10 K 0.7266 0.7266 0.5562  1 P 3.18, 1 Sb 3.43
11 K 0.8323 0.1677 0.7499  2 P 3.48-3.49, 3 K 3.76-3.82, 1 Sb 3.79
12 K 0.8323 0.8323 0.2501  2 P 3.48-3.49, 3 K 3.76-3.82, 1 Sb 3.79
13 Sb 0.5000 0.5000 0.2495  6 K 3.43-3.79
14 Sb 0.5000 0.5000 0.7505  6 K 3.43-3.79
15 P 0.0000 0.0000 0.0000  8 K 3.18-3.49
16 P 0.0000 0.0000 0.5000  8 K 3.18-3.48


No. 5
First-principles (GGA-PBE) data for KSbP2 after structural relaxation, as listed in Alexandria via LeMat-Bulk.

## Properties
D(E_F)   1.18 states/eV/f.u.
Total magnetic moment   0.00 Bohr magnetons per cell
Formation energy without anion corrections   -0.061 eV/atom
Total DFT energy (no corrections)   -4.0708 eV per atom

a = 5.8029 Å, b = 5.8029 Å, c = 6.4393 Å
α = 108.70°, β = 108.70°, γ = 33.00°
Closest atoms and distances in Å follow each position.
Fractional coordinates of all 4 atoms:
1 K 0.0000 0.0000 0.0000  2 K 3.30, 4 P 3.48, 4 Sb 3.62
2 Sb 0.5000 0.5000 0.5000  6 P 3.09-3.13, 2 Sb 3.30
3 P 0.2481 0.2481 0.6144  2 P 2.22
4 P 0.7519 0.7519 0.3856  2 P 2.22


No. 6
First-principles (GGA-PBE) data for KSbP2 after structural relaxation, as listed in Alexandria via LeMat-Bulk.

## Properties
D(E_F)   1.28 states/eV/f.u.
Total magnetic moment   0.00 Bohr magnetons per cell
Formation energy without anion corrections   0.640 eV/atom
Total DFT energy (no corrections)   -3.3700 eV per atom

a = 5.0844 Å, b = 5.0844 Å, c = 5.0844 Å
α = 60.00°, β = 60.00°, γ = 60.00°
Closest atoms and distances in Å follow each position.
Fractional coordinates of all 4 atoms:
1 K 0.0000 0.0000 0.0000  4 Sb 3.11, 4 P 3.11
2 Sb 0.7500 0.7500 0.7500  4 P 3.11, 4 K 3.11
3 P 0.2500 0.2500 0.2500  4 P 3.11, 4 K 3.11
4 P 0.5000 0.5000 0.5000  4 P 3.11, 4 Sb 3.11


No. 7
First-principles (GGA-PBE) data for K4SbP2 after structural relaxation, as listed in Alexandria via LeMat-Bulk.

## Properties
D(E_F)   2.37 states/eV/f.u.
Total magnetic moment   0.00 Bohr magnetons per cell
Formation energy without anion corrections   -0.318 eV/atom
Total DFT energy (no corrections)   -3.0801 eV per atom

a = 8.5715 Å, b = 8.5715 Å, c = 8.5897 Å
α = 90.01°, β = 90.01°, γ = 153.07°
Closest atoms and distances in Å follow each position.
Fractional coordinates of all 7 atoms:
1 K 0.1211 0.8777 0.7478  3 P 3.35-3.44, 2 Sb 3.55-3.56
2 K 0.1223 0.8789 0.2522  3 P 3.35-3.44, 2 Sb 3.55-3.56
3 K 0.8777 0.1211 0.7478  3 P 3.35-3.44, 2 Sb 3.55-3.56
4 K 0.8789 0.1223 0.2522  3 P 3.35-3.44, 2 Sb 3.55-3.56
5 Sb 0.5000 0.5000 0.5000  8 K 3.55-3.56
6 P 0.2822 0.7178 0.0000  2 P 2.27
7 P 0.7178 0.2822 0.0000  2 P 2.27


No. 8
First-principles (GGA-PBE) data for KSbP2 after structural relaxation, as listed in Alexandria via LeMat-Bulk.

## Properties
D(E_F)   1.48 states/eV/f.u.
Total magnetic moment   0.00 Bohr magnetons per cell
Formation energy without anion corrections   0.031 eV/atom
Total DFT energy (no corrections)   -3.9793 eV per atom

a = 3.5745 Å, b = 4.3332 Å, c = 6.6691 Å
α = 90.00°, β = 90.00°, γ = 90.00°
Closest atoms and distances in Å follow each position.
Fractional coordinates of all 4 atoms:
1 K 0.0000 0.0000 0.0000  2 Sb 3.33, 2 K 3.57, 8 P 3.61
2 Sb 0.0000 0.0000 0.5000  8 P 3.01, 2 K 3.33
3 P 0.5000 0.5000 0.3391  1 P 2.15
4 P 0.5000 0.5000 0.6609  1 P 2.15


No. 9
First-principles (GGA-PBE) data for KSbP2 after structural relaxation, as listed in Alexandria via LeMat-Bulk.

## Properties
D(E_F)   1.48 states/eV/f.u.
Total magnetic moment   0.00 Bohr magnetons per cell
Formation energy without anion corrections   0.055 eV/atom
Total DFT energy (no corrections)   -3.9553 eV per atom

a = 6.1132 Å, b = 6.1132 Å, c = 6.1132 Å
α = 149.05°, β = 120.35°, γ = 68.72°
Closest atoms and distances in Å follow each position.
Fractional coordinates of all 4 atoms:
1 K 0.0000 0.0000 0.0000  2 K 3.26, 8 P 3.48-3.62, 4 Sb 3.54-3.61
2 Sb 0.6805 0.1805 0.5000  2 P 2.82
3 P 0.3048 0.8048 0.5000  2 P 2.21
4 P 0.4528 0.4528 0.0000  2 P 2.21


No. 10
First-principles (GGA-PBE) data for KSbP2 after structural relaxation, as listed in Alexandria via LeMat-Bulk.

## Properties
D(E_F)   1.96 states/eV/f.u.
Total magnetic moment   0.00 Bohr magnetons per cell
Formation energy without anion corrections   0.016 eV/atom
Total DFT energy (no corrections)   -3.9943 eV per atom

a = 8.9427 Å, b = 8.9427 Å, c = 8.9427 Å
α = 23.04°, β = 23.04°, γ = 23.04°
Closest atoms and distances in Å follow each position.
Fractional coordinates of all 4 atoms:
1 K 0.0000 0.0000 0.0000  3 P 3.28, 3 Sb 3.57, 6 K 3.57
2 Sb 0.2219 0.2219 0.2219  3 P 2.92
3 P 0.4758 0.4758 0.4758  3 P 2.37
4 P 0.7646 0.7646 0.7646  3 P 2.37


No. 11
First-principles (GGA-PBE) data for KSbP2 after structural relaxation, as listed in Alexandria via LeMat-Bulk.

## Properties
D(E_F)   2.45 states/eV/f.u.
Total magnetic moment   0.00 Bohr magnetons per cell
Formation energy without anion corrections   0.406 eV/atom
Total DFT energy (no corrections)   -3.6043 eV per atom

a = 4.6694 Å, b = 4.6694 Å, c = 4.0781 Å
α = 90.00°, β = 90.00°, γ = 90.00°
Closest atoms and distances in Å follow each position.
Fractional coordinates of all 4 atoms:
1 K 0.0000 0.0000 0.0000  8 P 3.10, 4 Sb 3.30
2 Sb 0.5000 0.5000 0.0000  8 P 3.10, 4 K 3.30
3 P 0.0000 0.5000 0.5000  4 Sb 3.10, 4 K 3.10, 4 P 3.30
4 P 0.5000 0.0000 0.5000  4 Sb 3.10, 4 K 3.10, 4 P 3.30


No. 12
First-principles (GGA-PBE) data for KSbP2 after structural relaxation, as listed in Alexandria via LeMat-Bulk.

## Properties
D(E_F)   2.18 states/eV/f.u.
Total magnetic moment   0.00 Bohr magnetons per cell
Formation energy without anion corrections   0.295 eV/atom
Total DFT energy (no corrections)   -3.7153 eV per atom

a = 5.9727 Å, b = 5.9727 Å, c = 5.9727 Å
α = 144.76°, β = 115.06°, γ = 76.10°
Closest atoms and distances in Å follow each position.
Fractional coordinates of all 4 atoms:
1 K 0.0000 0.0000 0.0000  8 P 3.39-3.70, 2 K 3.62, 4 Sb 3.68
2 Sb 0.5000 0.5000 0.0000  4 P 2.58
3 P 0.3044 0.8044 0.5000  2 Sb 2.58
4 P 0.6956 0.1956 0.5000  2 Sb 2.58


No. 13
First-principles (GGA-PBE) data for K4SbP after structural relaxation, as listed in Alexandria via LeMat-Bulk.

## Properties
D(E_F)   4.07 states/eV/f.u.
Total magnetic moment   1.98 Bohr magnetons per cell
Formation energy without anion corrections   0.373 eV/atom
Total DFT energy (no corrections)   -1.9474 eV per atom

a = 6.7074 Å, b = 6.7074 Å, c = 6.7074 Å
α = 60.00°, β = 60.00°, γ = 60.00°
Closest atoms and distances in Å follow each position.
Fractional coordinates of all 6 atoms:
1 K 0.1245 0.1245 0.1245  6 K 3.34-3.37
2 K 0.1245 0.1245 0.6266  6 K 3.34-3.37
3 K 0.1245 0.6266 0.1245  6 K 3.34-3.37
4 K 0.6266 0.1245 0.1245  6 K 3.34-3.37
5 Sb 0.5000 0.5000 0.5000  12 K 3.93, 4 P 4.11
6 P 0.7500 0.7500 0.7500  12 K 3.93, 4 Sb 4.11


No. 14
First-principles (GGA-PBE) data for K8Sb2P after structural relaxation, as listed in Alexandria via LeMat-Bulk.

## Properties
D(E_F)   15.80 states/eV/f.u.
Total magnetic moment   1.22 Bohr magnetons per cell
Formation energy without anion corrections   -0.303 eV/atom
Total DFT energy (no corrections)   -2.3426 eV per atom

a = 10.6224 Å, b = 10.6224 Å, c = 5.6908 Å
α = 105.51°, β = 105.51°, γ = 122.27°
Closest atoms and distances in Å follow each position.
Fractional coordinates of all 11 atoms:
1 K 0.0000 0.0000 0.0000  2 Sb 3.52, 2 K 3.67, 2 P 3.67-3.68
2 K 0.1950 0.8917 0.5444  1 P 3.43, 2 Sb 3.67
3 K 0.2799 0.4718 0.3764  2 P 3.47, 4 K 3.57-3.82, 1 Sb 3.58
4 K 0.3528 0.7621 0.0587  3 Sb 3.49-3.53, 4 K 3.82-3.91
5 K 0.4718 0.2799 0.3764  2 P 3.47, 4 K 3.57-3.82, 1 Sb 3.58
6 K 0.6634 0.6634 0.1620  1 P 3.33
7 K 0.7621 0.3528 0.0587  3 Sb 3.49-3.53, 4 K 3.82-3.91
8 K 0.8917 0.1950 0.5444  1 P 3.43, 2 Sb 3.67
9 Sb 0.6144 0.9303 0.7736  7 K 3.49-3.67
10 Sb 0.9303 0.6144 0.7736  7 K 3.49-3.67
11 P 0.2729 0.2729 0.7732  9 K 3.33-3.68


No. 15
First-principles (GGA-PBE) data for KSbP2 after structural relaxation, as listed in Alexandria via LeMat-Bulk.

## Properties
D(E_F)   1.63 states/eV/f.u.
Total magnetic moment   0.00 Bohr magnetons per cell
Formation energy without anion corrections   -0.022 eV/atom
Total DFT energy (no corrections)   -4.0316 eV per atom

a = 5.5680 Å, b = 5.5680 Å, c = 6.2309 Å
α = 109.75°, β = 109.75°, γ = 35.56°
Closest atoms and distances in Å follow each position.
Fractional coordinates of all 4 atoms:
1 K 0.0000 0.0000 0.0000  2 K 3.40, 8 P 3.41-3.79, 3 Sb 3.53-3.71
2 Sb 0.2002 0.2002 0.5885  5 P 2.76-3.09
3 P 0.4725 0.4725 0.5116  2 P 2.35
4 P 0.8131 0.8131 0.3568  2 P 2.35


No. 16
First-principles (GGA-PBE) data for KSbP2 after structural relaxation, as listed in Alexandria via LeMat-Bulk.

## Properties
D(E_F)   1.39 states/eV/f.u.
Total magnetic moment   0.00 Bohr magnetons per cell
Formation energy without anion corrections   0.161 eV/atom
Total DFT energy (no corrections)   -3.8494 eV per atom

a = 3.6706 Å, b = 4.6417 Å, c = 6.2790 Å
α = 90.00°, β = 90.11°, γ = 90.00°
Closest atoms and distances in Å follow each position.
Fractional coordinates of all 4 atoms:
1 K 0.0000 0.0000 0.0000  6 P 3.25-3.43, 4 Sb 3.64
2 Sb 0.4996 0.5000 0.6632  1 P 2.43
3 P 0.4999 0.5000 0.2757  1 Sb 2.43, 2 P 2.51
4 P 0.5029 0.0000 0.4286  2 P 2.51, 2 Sb 2.75


No. 17
First-principles (GGA-PBE) data for KSb4P2 after structural relaxation, as listed in Alexandria via LeMat-Bulk.

## Properties
D(E_F)   2.21 states/eV/f.u.
Total magnetic moment   0.00 Bohr magnetons per cell
Formation energy without anion corrections   -0.005 eV/atom
Total DFT energy (no corrections)   -4.0635 eV per atom

a = 6.2505 Å, b = 6.5903 Å, c = 11.4298 Å
α = 84.31°, β = 83.54°, γ = 72.12°
Closest atoms and distances in Å follow each position.
Fractional coordinates of all 14 atoms:
1 K 0.0431 0.2405 0.1135  1 P 3.20, 1 Sb 3.57
2 K 0.9569 0.7595 0.8865  1 P 3.20, 1 Sb 3.57
3 Sb 0.1216 0.2076 0.5526  3 P 2.58-2.62
4 Sb 0.3736 0.0325 0.8174  1 P 2.55
5 Sb 0.4211 0.6910 0.0777  3 Sb 2.90-3.07
6 Sb 0.4991 0.4488 0.3030  2 P 2.55-2.69
7 Sb 0.5009 0.5512 0.6970  2 P 2.55-2.69
8 Sb 0.5789 0.3090 0.9223  3 Sb 2.90-3.07
9 Sb 0.6264 0.9675 0.1826  1 P 2.55
10 Sb 0.8784 0.7924 0.4474  3 P 2.58-2.62
11 P 0.0945 0.4363 0.3504  3 Sb 2.55-2.62
12 P 0.4861 0.8230 0.3826  3 Sb 2.55-2.69
13 P 0.5139 0.1770 0.6174  3 Sb 2.55-2.69
14 P 0.9055 0.5637 0.6496  3 Sb 2.55-2.62


No. 18
First-principles (GGA-PBE) data for KSbP2 after structural relaxation, as listed in Alexandria via LeMat-Bulk.

## Properties
D(E_F)   2.57 states/eV/f.u.
Total magnetic moment   0.00 Bohr magnetons per cell
Formation energy without anion corrections   0.497 eV/atom
Total DFT energy (no corrections)   -3.5130 eV per atom

a = 5.8406 Å, b = 5.8406 Å, c = 5.8406 Å
α = 137.17°, β = 137.17°, γ = 62.17°
Closest atoms and distances in Å follow each position.
Fractional coordinates of all 4 atoms:
1 K 0.0000 0.0000 0.0000  8 P 3.02-3.29, 4 Sb 3.29
2 Sb 0.7500 0.2500 0.5000  8 P 3.02-3.29, 4 K 3.29
3 P 0.2500 0.7500 0.5000  4 Sb 3.02, 4 P 3.29, 4 K 3.29
4 P 0.5000 0.5000 0.0000  4 K 3.02, 4 Sb 3.29, 4 P 3.29


No. 19
First-principles (GGA-PBE) data for KSbP2 after structural relaxation, as listed in Alexandria via LeMat-Bulk.

## Properties
D(E_F)   0.00 states/eV/f.u.
Total magnetic moment   0.00 Bohr magnetons per cell
Formation energy without anion corrections   -0.016 eV/atom
Total DFT energy (no corrections)   -4.0263 eV per atom

a = 6.8573 Å, b = 6.8573 Å, c = 6.8573 Å
α = 114.30°, β = 114.30°, γ = 100.20°
Closest atoms and distances in Å follow each position.
Fractional coordinates of all 8 atoms:
1 K 0.0000 0.0000 0.0000  4 P 3.26
2 K 0.7500 0.2500 0.5000  4 P 3.26
3 Sb 0.2500 0.7500 0.5000  4 P 2.51
4 Sb 0.5000 0.5000 0.0000  4 P 2.51
5 P 0.2031 0.6250 0.0781  2 Sb 2.51
6 P 0.3750 0.4531 0.5781  2 Sb 2.51
7 P 0.5469 0.1250 0.9219  2 Sb 2.51
8 P 0.8750 0.7969 0.4219  2 Sb 2.51


No. 20
First-principles (GGA-PBE) data for KSbP2 after structural relaxation, as listed in Alexandria via LeMat-Bulk.

## Properties
D(E_F)   2.14 states/eV/f.u.
Total magnetic moment   0.00 Bohr magnetons per cell
Formation energy without anion corrections   0.424 eV/atom
Total DFT energy (no corrections)   -3.5860 eV per atom

a = 5.2589 Å, b = 5.2589 Å, c = 5.2589 Å
α = 126.70°, β = 126.70°, γ = 78.75°
Closest atoms and distances in Å follow each position.
Fractional coordinates of all 4 atoms:
1 K 0.0000 0.0000 0.0000  8 P 3.11, 4 Sb 3.34
2 Sb 0.5000 0.5000 0.0000  8 P 3.11, 4 K 3.34
3 P 0.2500 0.7500 0.5000  4 Sb 3.11, 4 K 3.11, 4 P 3.34
4 P 0.7500 0.2500 0.5000  4 Sb 3.11, 4 K 3.11, 4 P 3.34